No. 1
SrAl2 | GGA-PBE | relaxed

Output
E_form, meV per atom: -170
Size of the total moment, μB per atom: 0.000

Cell lengths 4.372, 16.165, 4.580 Å; angles 90.00, 90.00, 90.00 degrees
Space group Cmcm (No. 63)
Inequivalent atoms, fractional coordinates:
Sr 0.000 0.096 0.250 [4 per cell]
Al 0.000 0.252 0.750 [4 per cell]
Al 0.000 0.349 0.250 [4 per cell]

***

No. 2
Ca11Tl4Hg9 | GGA-PBE | relaxed

Output
E_form, meV per atom: -460
Size of the total moment, μB per atom: 0.000

Cell lengths 16.099, 21.851, 3.814 Å; angles 90.00, 90.00, 90.00 degrees
Space group Cmmm (No. 65)
Inequivalent atoms, fractional coordinates:
Ca 0.000 0.000 0.000 [2 per cell]
Ca 0.000 0.178 0.000 [4 per cell]
Ca 0.000 0.353 0.000 [4 per cell]
Ca 0.225 0.000 0.000 [4 per cell]
Ca 0.236 0.171 0.000 [8 per cell]
Tl 0.149 0.418 0.500 [8 per cell]
Hg 0.000 0.500 0.500 [2 per cell]
Hg 0.115 0.088 0.500 [8 per cell]
Hg 0.120 0.262 0.500 [8 per cell]

***

No. 3
MnCu2Ir | GGA-PBE | relaxed

Output
E_form, meV per atom: 499
Size of the total moment, μB per atom: 1.139

Cell lengths 6.793, 6.793, 5.047 Å; angles 90.00, 90.00, 90.00 degrees
Space group I-42d (No. 122)
Inequivalent atoms, fractional coordinates:
Mn 0.000 0.000 0.000 [4 per cell]
Cu 0.249 0.250 0.125 [8 per cell]
Ir 0.000 0.000 0.500 [4 per cell]

***

No. 4
AlTc | GGA-PBE | relaxed

Output
E_form, meV per atom: 1548
E above lowest polymorph, eV per atom: 1.960
Size of the total moment, μB per atom: 0.969

Cell lengths 5.706, 5.706, 5.706 Å; angles 90.00, 90.00, 90.00 degrees
Space group F-43m (No. 216)
Inequivalent atoms, fractional coordinates:
Al 0.000 0.000 0.000 [4 per cell]
Tc 0.250 0.250 0.250 [4 per cell]

***

No. 5
Rb2TlIn3Sn4 | GGA-PBE | relaxed

Output
E_form, meV per atom: -143
Size of the total moment, μB per atom: 0.000

Cell lengths 5.279, 5.279, 12.019 Å; angles 90.00, 90.00, 90.00 degrees
Space group P-4m2 (No. 115)
Inequivalent atoms, fractional coordinates:
Rb 0.000 0.500 0.249 [2 per cell]
Tl 0.000 0.000 0.500 [1 per cell]
In 0.000 0.500 0.873 [2 per cell]
In 0.500 0.500 0.500 [1 per cell]
Sn 0.000 0.000 0.000 [1 per cell]
Sn 0.000 0.500 0.631 [2 per cell]
Sn 0.500 0.500 0.000 [1 per cell]

***

No. 6
NaNdHg4 | GGA-PBE | relaxed

Output
E_form, meV per atom: -309
E above lowest polymorph, eV per atom: 0.002
Size of the total moment, μB per atom: 0.000

Cell lengths 8.820, 8.479, 5.099 Å; angles 90.00, 125.24, 90.00 degrees
Space group C2 (No. 5)
Inequivalent atoms, fractional coordinates:
Na 0.000 0.000 0.000 [2 per cell]
Nd 0.000 0.502 0.500 [2 per cell]
Hg 0.233 0.331 0.233 [4 per cell]
Hg 0.234 0.671 0.233 [4 per cell]

***

| no. | raw total energy (eV per atom) | mass density (g cm⁻³) |
| --- | --- | --- |
| 1 | -3.2255 | 2.9 |
| 2 | -1.8854 | 7.6 |
| 3 | -6.0564 | 10.7 |
| 4 | -5.5066 | 4.5 |
| 5 | -2.9961 | 5.9 |
| 6 | -1.5251 | 10.3 |